Entry 1:
Computed, not measured: a geometry-optimized LaTa2Mn structure at the GGA-PBEsol level of DFT. Values from VASP.

Calculated values
The calculated volume comes out at 19.3 A^3/atom. The energy of formation is 0.73 eV/atom. For the magnetic moment, the calculation gives 2.3 μB/cell. As for the energy above the most stable polymorph in this dataset: 435.7 meV per atom.

```
&SYSTEM
  ibrav = 0, nat = 4, ntyp = 3
/
ATOMIC_SPECIES
La 138.91 La.upf
Ta 180.95 Ta.upf
Mn 54.94 Mn.upf
CELL_PARAMETERS angstrom
3.969 0.000 0.000
0.000 3.969 0.000
0.000 0.000 4.910
ATOMIC_POSITIONS angstrom
La 0.000 0.000 0.000
Ta 0.000 1.984 2.455
Ta 1.984 0.000 2.455
Mn 1.984 1.984 0.000
```

---

Entry 2:
Computed, not measured: a geometry-optimized SrLaNi2 structure at the GGA-PBEsol level of DFT. Values from VASP.

Calculated values
The calculated volume comes out at 23.6 A^3/atom. The energy of formation is -0.12 eV/atom. For the magnetic moment, the calculation gives 0.0 μB/cell. As for the energy above the most stable polymorph in this dataset: 0.0 meV per atom.

```
&SYSTEM
  ibrav = 0, nat = 4, ntyp = 3
/
ATOMIC_SPECIES
Sr 87.62 Sr.upf
La 138.91 La.upf
Ni 58.69 Ni.upf
CELL_PARAMETERS angstrom
4.109 0.000 0.000
0.000 1.990 5.761
0.000 -1.990 5.761
ATOMIC_POSITIONS angstrom
Sr 0.000 0.000 0.000
La 2.054 0.000 8.406
Ni 0.000 0.000 3.302
Ni 2.054 0.000 4.577
```

---

Entry 3:
Computed, not measured: a geometry-optimized BeC structure at the GGA-PBEsol level of DFT. Values from VASP.

Calculated values
The calculated volume comes out at 7.6 A^3/atom. The energy of formation is 1.39 eV/atom. For the magnetic moment, the calculation gives 0.0 μB/cell. As for the energy above the most stable polymorph in this dataset: 697.0 meV per atom.

```
&SYSTEM
  ibrav = 0, nat = 4, ntyp = 2
/
ATOMIC_SPECIES
Be 9.01 Be.upf
C 12.01 C.upf
CELL_PARAMETERS angstrom
3.448 0.000 0.000
0.000 3.448 0.000
0.000 0.000 2.557
ATOMIC_POSITIONS angstrom
Be 0.862 2.586 0.000
Be 2.586 0.862 0.000
C 0.862 0.862 0.618
C 2.586 2.586 1.939
```

---

Entry 4:
Computed, not measured: a geometry-optimized ZrTaIn2 structure at the GGA-PBEsol level of DFT. Values from VASP.

Calculated values
The calculated volume comes out at 20.6 A^3/atom. The energy of formation is 0.02 eV/atom. For the magnetic moment, the calculation gives 0.0 μB/cell. As for the energy above the most stable polymorph in this dataset: 116.8 meV per atom.

```
&SYSTEM
  ibrav = 0, nat = 4, ntyp = 3
/
ATOMIC_SPECIES
Zr 91.22 Zr.upf
Ta 180.95 Ta.upf
In 114.82 In.upf
CELL_PARAMETERS angstrom
5.026 -1.551 0.000
5.026 1.551 0.000
-0.979 0.000 5.281
ATOMIC_POSITIONS angstrom
Zr 0.000 0.000 0.000
Ta 4.536 0.000 2.641
In 1.755 0.000 3.909
In 7.318 0.000 1.372
```

---

Entry 5:
Computed, not measured: a geometry-optimized CaLa2Al structure at the GGA-PBEsol level of DFT. Values from VASP.

Calculated values
The calculated volume comes out at 30.4 A^3/atom. The energy of formation is -0.08 eV/atom. For the magnetic moment, the calculation gives 0.0 μB/cell.

```
&SYSTEM
  ibrav = 0, nat = 4, ntyp = 3
/
ATOMIC_SPECIES
Ca 40.08 Ca.upf
La 138.91 La.upf
Al 26.98 Al.upf
CELL_PARAMETERS angstrom
-1.952 2.750 5.664
1.952 -2.750 5.664
1.952 2.750 -5.664
ATOMIC_POSITIONS angstrom
Ca 0.000 0.000 0.000
La 1.952 0.000 3.203
La 0.000 0.000 6.375
Al 0.000 2.750 3.261
```

---

Entry 6:
Computed, not measured: a geometry-optimized K2CrRu structure at the GGA-PBEsol level of DFT. Values from VASP.

Calculated values
The calculated volume comes out at 21.2 A^3/atom. The energy of formation is 1.44 eV/atom. For the magnetic moment, the calculation gives 2.8 μB/cell. As for the energy above the most stable polymorph in this dataset: 4.0 meV per atom.

```
&SYSTEM
  ibrav = 0, nat = 4, ntyp = 3
/
ATOMIC_SPECIES
K 39.10 K.upf
Cr 52.00 Cr.upf
Ru 101.07 Ru.upf
CELL_PARAMETERS angstrom
3.878 0.000 0.000
0.000 3.878 0.000
0.000 0.000 5.630
ATOMIC_POSITIONS angstrom
K 0.000 1.939 0.000
K 1.939 0.000 0.000
Cr 0.000 0.000 2.815
Ru 1.939 1.939 2.815
```

---

Entry 7:
Computed, not measured: a geometry-optimized Sb structure at the GGA-PBEsol level of DFT. Values from VASP.

Calculated values
The calculated volume comes out at 32.4 A^3/atom. For the magnetic moment, the calculation gives 0.0 μB/cell. As for the energy above the most stable polymorph in this dataset: 258.6 meV per atom. The formation energy from raw total energies is 258.6 meV/atom.

```
&SYSTEM
  ibrav = 0, nat = 4, ntyp = 1
/
ATOMIC_SPECIES
Sb 121.76 Sb.upf
CELL_PARAMETERS angstrom
-4.003 4.003 2.023
4.003 -4.003 2.023
4.003 4.003 -2.023
ATOMIC_POSITIONS angstrom
Sb 5.205 1.202 0.000
Sb 1.202 2.800 0.000
Sb 2.800 1.202 2.023
Sb -1.202 2.800 2.023
```

---

Entry 8:
Computed, not measured: a geometry-optimized BeZnAg structure at the GGA-PBEsol level of DFT. Values from VASP.

Calculated values
The calculated volume comes out at 15.8 A^3/atom. The energy of formation is 0.43 eV/atom. For the magnetic moment, the calculation gives 0.0 μB/cell. As for the energy above the most stable polymorph in this dataset: 363.1 meV per atom.

```
&SYSTEM
  ibrav = 0, nat = 3, ntyp = 3
/
ATOMIC_SPECIES
Be 9.01 Be.upf
Zn 65.41 Zn.upf
Ag 107.87 Ag.upf
CELL_PARAMETERS angstrom
0.000 2.875 2.875
2.875 0.000 2.875
2.875 2.875 0.000
ATOMIC_POSITIONS angstrom
Be 0.000 0.000 0.000
Zn 2.875 2.875 2.875
Ag 4.312 4.312 4.312
```

---

Entry 9:
Computed, not measured: a geometry-optimized RePt3 structure at the GGA-PBEsol level of DFT. Values from VASP.

Calculated values
The calculated volume comes out at 14.8 A^3/atom. The energy of formation is -0.14 eV/atom. For the magnetic moment, the calculation gives 0.0 μB/cell.

```
&SYSTEM
  ibrav = 0, nat = 4, ntyp = 2
/
ATOMIC_SPECIES
Re 186.21 Re.upf
Pt 195.08 Pt.upf
CELL_PARAMETERS angstrom
2.732 0.000 0.000
0.000 2.732 0.000
0.000 0.000 7.917
ATOMIC_POSITIONS angstrom
Re 0.000 0.000 0.000
Pt 0.000 0.000 3.959
Pt 1.366 1.366 1.891
Pt 1.366 1.366 6.026
```

---

Entry 10:
Computed, not measured: a geometry-optimized TePtPb2 structure at the GGA-PBEsol level of DFT. Values from VASP.

Calculated values
The calculated volume comes out at 24.3 A^3/atom. For the magnetic moment, the calculation gives 0.0 μB/cell. The formation energy from raw total energies is 153.6 meV/atom.

```
&SYSTEM
  ibrav = 0, nat = 4, ntyp = 3
/
ATOMIC_SPECIES
Te 127.60 Te.upf
Pt 195.08 Pt.upf
Pb 207.20 Pb.upf
CELL_PARAMETERS angstrom
4.524 0.000 0.000
0.000 4.524 0.000
0.000 0.000 4.760
ATOMIC_POSITIONS angstrom
Te 0.000 0.000 0.000
Pt 2.262 2.262 0.000
Pb 0.000 2.262 2.380
Pb 2.262 0.000 2.380
```

---

Entry 11:
Computed, not measured: a geometry-optimized TlCrBr3 structure at the GGA-PBEsol level of DFT. Values from VASP.

Calculated values
The calculated volume comes out at 27.0 A^3/atom. For the magnetic moment, the calculation gives 4.0 μB/cell. The formation energy from raw total energies is -630.9 meV/atom.

```
&SYSTEM
  ibrav = 0, nat = 5, ntyp = 3
/
ATOMIC_SPECIES
Tl 204.38 Tl.upf
Cr 52.00 Cr.upf
Br 79.90 Br.upf
CELL_PARAMETERS angstrom
5.129 0.000 0.000
0.000 5.129 0.000
0.000 0.000 5.129
ATOMIC_POSITIONS angstrom
Tl 0.000 0.000 0.000
Cr 2.564 2.564 2.564
Br 0.000 2.564 2.564
Br 2.564 0.000 2.564
Br 2.564 2.564 0.000
```

---

Entry 12:
Computed, not measured: a geometry-optimized NbCdRe2S structure at the GGA-PBEsol level of DFT. Values from VASP.

Calculated values
The calculated volume comes out at 23.5 A^3/atom. For the magnetic moment, the calculation gives 2.9 μB/cell. The formation energy from raw total energies is 2351.4 meV/atom.

```
&SYSTEM
  ibrav = 0, nat = 5, ntyp = 4
/
ATOMIC_SPECIES
Nb 92.91 Nb.upf
Cd 112.41 Cd.upf
Re 186.21 Re.upf
S 32.06 S.upf
CELL_PARAMETERS angstrom
4.732 0.000 0.000
0.000 4.732 0.000
0.000 0.000 5.253
ATOMIC_POSITIONS angstrom
Nb 0.000 0.000 0.000
Cd 0.000 0.000 2.627
Re 0.000 2.366 0.000
Re 2.366 0.000 0.000
S 2.366 2.366 2.627
```